Entry one
Below is a crystal of ZnSb2Cl relaxed with PBEsol, with properties calculated at the meta-GGA SCAN level.

Lattice parameters (Å, degrees): 3.3378 3.3378 9.3575 79.73 79.73 60.00
Last column: nearest neighbours and their distance in Å.
Fractional coordinates of all 4 atoms:
1 Sb 0.2466 0.2466 0.2603  3 Zn 2.92, 3 Cl 3.06
2 Sb 0.7534 0.7534 0.7397  3 Zn 2.92, 3 Cl 3.06
3 Zn 0.5000 0.5000 0.5000  6 Sb 2.92
4 Cl 0.0000 0.0000 0.0000  6 Sb 3.06, 6 Cl 3.34

Properties
Space-group type ... No. 166
Density of states at the Fermi level ... 2.0 states/eV per cell
Total moment ... 0.00 μB/cell



Entry two
Below is a crystal of ZnSb2Cl relaxed with PBEsol, with properties calculated at the meta-GGA SCAN level.

Lattice parameters (Å, degrees): 3.2601 4.9076 5.6922 90.00 90.00 90.00
Last column: nearest neighbours and their distance in Å.
Fractional coordinates of all 4 atoms:
1 Sb 0.0000 0.0000 0.0000  4 Zn 2.95, 6 Sb 3.26-3.28
2 Sb 0.5000 0.0000 0.5000  4 Cl 2.95, 6 Sb 3.26-3.28
3 Zn 0.5000 0.5000 0.0000  4 Sb 2.95, 2 Zn 3.26, 4 Cl 3.28
4 Cl 0.0000 0.5000 0.5000  4 Sb 2.95, 2 Cl 3.26, 4 Zn 3.28

Properties
Space-group type ... No. 47
Density of states at the Fermi level ... 1.8 states/eV per cell
Total moment ... 0.00 μB/cell



Stability check: which of them is least stable? entry one.



Entry one
Below is a crystal of Sc2SiCl relaxed with PBEsol, with properties calculated at the meta-GGA SCAN level.

Lattice parameters (Å, degrees): 3.7544 3.7544 5.2561 90.00 90.00 90.00
Last column: nearest neighbours and their distance in Å.
Fractional coordinates of all 4 atoms:
1 Cl 0.5000 0.5000 0.5000  6 Sc 2.63-2.65
2 Sc 0.0000 0.0000 0.5000  2 Si 2.63, 4 Cl 2.65
3 Sc 0.5000 0.5000 0.0000  2 Cl 2.63, 4 Si 2.65
4 Si 0.0000 0.0000 0.0000  6 Sc 2.63-2.65

Properties
Space-group type ... No. 123
Density of states at the Fermi level ... 1.4 states/eV per cell
Total moment ... 0.00 μB/cell



Entry two
Below is a crystal of Sc2SiCl relaxed with PBEsol, with properties calculated at the meta-GGA SCAN level.

Lattice parameters (Å, degrees): 3.1624 3.1624 7.9842 90.00 90.00 90.00
Last column: nearest neighbours and their distance in Å.
Fractional coordinates of all 4 atoms:
1 Cl 0.5000 0.5000 0.7917  4 Sc 2.54
2 Sc 0.0000 0.0000 0.9413  4 Cl 2.54
3 Sc 0.5000 0.5000 0.2800  4 Si 2.78
4 Si 0.0000 0.0000 0.4869  4 Sc 2.78

Properties
Space-group type ... No. 99
Density of states at the Fermi level ... 3.1 states/eV per cell
Total moment ... 0.00 μB/cell



Stability check: which of them is least stable? entry two.



Entry one
Below is a crystal of ScSiCl2 relaxed with PBEsol, with properties calculated at the meta-GGA SCAN level.

Lattice parameters (Å, degrees): 3.2731 3.2731 9.4147 79.99 79.99 60.00
Last column: nearest neighbours and their distance in Å.
Fractional coordinates of all 4 atoms:
1 Sc 0.0000 0.0000 0.0000  2 Cl 2.38
2 Si 0.5000 0.5000 0.5000  6 Cl 2.92, 6 Si 3.27
3 Cl 0.9140 0.9140 0.2580  1 Sc 2.38
4 Cl 0.0860 0.0860 0.7420  1 Sc 2.38

Properties
Space-group type ... No. 166
Density of states at the Fermi level ... 1.7 states/eV per cell
Total moment ... 0.00 μB/cell



Entry two
Below is a crystal of ScSiCl2 relaxed with PBEsol, with properties calculated at the meta-GGA SCAN level.

Lattice parameters (Å, degrees): 4.2182 4.2182 5.1256 114.30 114.30 90.00
Last column: nearest neighbours and their distance in Å.
Fractional coordinates of all 4 atoms:
1 Cl 0.7500 0.2500 0.5000  4 Si 2.97, 4 Sc 2.97, 4 Cl 2.98
2 Cl 0.2500 0.7500 0.5000  4 Si 2.97, 4 Sc 2.97, 4 Cl 2.98
3 Sc 0.5000 0.5000 0.0000  8 Cl 2.97, 4 Si 2.98
4 Si 0.0000 0.0000 0.0000  8 Cl 2.97, 4 Sc 2.98

Properties
Space-group type ... No. 139
Density of states at the Fermi level ... 1.7 states/eV per cell
Total moment ... 0.00 μB/cell



Stability check: which of them is least stable? entry one.